Record 1
The following is a DFT calculation (PBE) of SrGa2N after structural relaxation.

Unit cell a=4.870 b=4.870 c=4.870 alpha=60.00 beta=60.00 gamma=60.00
Positions (direct):
Ga 0.750 0.750 0.750
Ga 0.250 0.250 0.250
N 0.000 0.000 0.000
Sr 0.500 0.500 0.500

Computed properties:
final energy = -3.20 eV/atom
symmetry = Fm-3m
ΔE_f (raw) = 0.8153 eV per atom



Record 2
The following is a DFT calculation (PBE) of Ti3In2Cu2 after structural relaxation.

Unit cell a=4.178 b=2.924 c=9.922 alpha=90.00 beta=77.85 gamma=90.00
Positions (direct):
In 0.581 0.500 0.839
In 0.419 0.500 0.161
Ti 0.165 0.000 0.669
Ti 0.835 0.000 0.331
Ti 0.000 0.000 0.000
Cu 0.282 0.500 0.435
Cu 0.718 0.500 0.565

Computed properties:
final energy = -5.44 eV/atom
symmetry = Cmmm



Record 3
The following is a DFT calculation (PBE) of BaY2Rh2 after structural relaxation.

Unit cell a=4.742 b=4.742 c=6.927 alpha=69.98 beta=69.98 gamma=90.00
Positions (direct):
Ba 0.000 0.000 0.000
Rh 0.387 0.387 0.226
Rh 0.613 0.613 0.774
Y 0.250 0.750 0.500
Y 0.750 0.250 0.500

Computed properties:
final energy = -6.40 eV/atom
symmetry = I4/mmm



Record 4
The following is a DFT calculation (PBE) of LaCoPt after structural relaxation.

Unit cell a=4.982 b=3.521 c=9.665 alpha=90.00 beta=90.00 gamma=135.03
Positions (direct):
Pt 0.694 0.389 0.137
Pt 0.694 0.389 0.863
La 0.194 0.389 0.685
La 0.194 0.389 0.315
Co 0.195 0.389 0.000
Co 0.694 0.389 0.500

Computed properties:
final energy = -6.25 eV/atom
symmetry = P4/mmm



Record 5
The following is a DFT calculation (PBE) of MgTe2H2 after structural relaxation.

Unit cell a=3.705 b=3.705 c=6.846 alpha=74.30 beta=74.30 gamma=90.00
Positions (direct):
H 0.250 0.750 0.500
H 0.750 0.250 0.500
Mg 0.000 0.000 0.000
Te 0.360 0.360 0.280
Te 0.640 0.640 0.720

Computed properties:
final energy = -2.56 eV/atom
symmetry = I4/mmm



Record 6
The following is a DFT calculation (PBE) of Mg2Sc2Au after structural relaxation.

Unit cell a=6.844 b=6.844 c=4.747 alpha=90.00 beta=90.00 gamma=90.00
Positions (direct):
Sc 0.331 0.169 0.500
Sc 0.831 0.331 0.500
Sc 0.169 0.669 0.500
Sc 0.669 0.831 0.500
Mg 0.358 0.858 0.000
Mg 0.858 0.642 0.000
Mg 0.142 0.358 0.000
Mg 0.642 0.142 0.000
Au 0.500 0.500 0.000
Au 0.000 0.000 0.000

Computed properties:
final energy = -3.96 eV/atom
symmetry = P4/mbm



Record 7
The following is a DFT calculation (PBE) of CdFeHg2 after structural relaxation.

Unit cell a=5.231 b=5.231 c=3.025 alpha=89.92 beta=89.92 gamma=108.57
Positions (direct):
Fe 0.000 0.500 0.500
Hg 0.500 0.500 0.000
Hg 0.000 0.000 0.000
Cd 0.500 0.000 0.500

Computed properties:
final energy = -2.13 eV/atom
symmetry = C2/m



Record 8
The following is a DFT calculation (PBE) of Th3IrRhAu after structural relaxation.

Unit cell a=4.171 b=8.252 c=9.587 alpha=111.30 beta=90.00 gamma=90.00
Positions (direct):
Rh 0.750 0.895 0.407
Rh 0.250 0.105 0.593
Au 0.750 0.757 0.763
Au 0.250 0.243 0.237
Th 0.250 0.072 0.865
Th 0.250 0.531 0.848
Th 0.750 0.469 0.152
Th 0.750 0.292 0.507
Th 0.250 0.708 0.493
Th 0.750 0.928 0.135
Ir 0.750 0.285 0.824
Ir 0.250 0.715 0.176

Computed properties:
final energy = -7.66 eV/atom
symmetry = P2_1/m